(1)
# CoPBr GGA-PBE relaxed
# - total moment (μB per formula unit) = 0.37
# - raw formation energy (eV per atom) = 0.048
# - ΔE to the lowest computed polymorph (eV/f.u.) = 0.37
# - Fermi-level density of states (states/eV/cell) = 2.886
data_CoPBr
_chemical_formula_sum 'Co2 P2 Br2'
_symmetry_space_group_name_H-M 'I m m 2'
_symmetry_Int_Tables_number 44
_cell_length_a 2.701
_cell_length_b 3.473
_cell_length_c 11.558
_cell_angle_alpha 90.00
_cell_angle_beta 90.00
_cell_angle_gamma 90.00
loop_
_symmetry_equiv_pos_as_xyz
'x,y,z'
'-x,-y,z'
'-x,y,z'
'x,-y,z'
'x+1/2,y+1/2,z+1/2'
'-x+1/2,-y+1/2,z+1/2'
'-x+1/2,y+1/2,z+1/2'
'x+1/2,-y+1/2,z+1/2'
loop_
_atom_site_label
_atom_site_type_symbol
_atom_site_fract_x
_atom_site_fract_y
_atom_site_fract_z
_atom_site_occupancy
Co1 Co 0.000 0.000 0.000 1
P1 P 0.000 0.000 0.542 1
Br1 Br 0.000 0.000 0.789 1

(2)
# CoP3Br GGA-PBE relaxed
# - total moment (μB per formula unit) = 0.00
# - raw formation energy (eV per atom) = 0.643
# - Fermi-level density of states (states/eV/cell) = 6.926
data_CoP3Br
_chemical_formula_sum 'Co1 P3 Br1'
_symmetry_space_group_name_H-M 'P m -3 m'
_symmetry_Int_Tables_number 221
_symmetry_space_group_name_Hall '-P 4 2 3'
_cell_length_a 4.449
_cell_length_b 4.449
_cell_length_c 4.449
_cell_angle_alpha 90.00
_cell_angle_beta 90.00
_cell_angle_gamma 90.00
loop_
_atom_site_label
_atom_site_type_symbol
_atom_site_fract_x
_atom_site_fract_y
_atom_site_fract_z
_atom_site_occupancy
Co1 Co 0.000 0.000 0.000 1
P1 P 0.000 0.000 0.500 1
Br1 Br 0.500 0.500 0.500 1

(3)
# CoP2Br GGA-PBE relaxed
# - total moment (μB per formula unit) = 0.00
# - raw formation energy (eV per atom) = 0.533
# - ΔE to the lowest computed polymorph (eV/f.u.) = 2.73
# - Fermi-level density of states (states/eV/cell) = 5.522
data_CoP2Br
_chemical_formula_sum 'Co2 P4 Br2'
_symmetry_space_group_name_H-M 'I 4/m m m'
_symmetry_Int_Tables_number 139
_symmetry_space_group_name_Hall '-I 4 2'
_cell_length_a 4.992
_cell_length_b 4.992
_cell_length_c 4.992
_cell_angle_alpha 90.00
_cell_angle_beta 90.00
_cell_angle_gamma 90.00
loop_
_atom_site_label
_atom_site_type_symbol
_atom_site_fract_x
_atom_site_fract_y
_atom_site_fract_z
_atom_site_occupancy
Co1 Co 0.000 0.000 0.000 1
P1 P 0.000 0.500 0.000 1
Br1 Br 0.000 0.000 0.500 1

(4)
# CoP2Br GGA-PBE relaxed
# - total moment (μB per formula unit) = 0.00
# - raw formation energy (eV per atom) = -0.064
# - ΔE to the lowest computed polymorph (eV/f.u.) = 0.34
# - Fermi-level density of states (states/eV/cell) = 2.810
data_CoP2Br
_chemical_formula_sum 'Co2 P4 Br2'
_symmetry_space_group_name_H-M 'C 1 m 1'
_symmetry_Int_Tables_number 8
_cell_length_a 7.563
_cell_length_b 3.258
_cell_length_c 7.442
_cell_angle_alpha 90.00
_cell_angle_beta 108.61
_cell_angle_gamma 90.00
loop_
_symmetry_equiv_pos_as_xyz
'x,y,z'
'x,-y,z'
'x+1/2,y+1/2,z'
'x+1/2,-y+1/2,z'
loop_
_atom_site_label
_atom_site_type_symbol
_atom_site_fract_x
_atom_site_fract_y
_atom_site_fract_z
_atom_site_occupancy
Co1 Co 0.000 0.000 0.000 1
P1 P 0.082 0.500 0.244 1
P2 P 0.230 0.500 0.054 1
Br1 Br 0.401 0.000 0.733 1

(5)
# CoP2Br GGA-PBE relaxed
# - total moment (μB per formula unit) = 0.00
# - raw formation energy (eV per atom) = 0.057
# - ΔE to the lowest computed polymorph (eV/f.u.) = 0.82
# - Fermi-level density of states (states/eV/cell) = 3.395
data_CoP2Br
_chemical_formula_sum 'Co1 P2 Br1'
_symmetry_space_group_name_H-M 'P 1 2/m 1'
_symmetry_Int_Tables_number 10
_cell_length_a 4.794
_cell_length_b 3.475
_cell_length_c 5.101
_cell_angle_alpha 90.00
_cell_angle_beta 91.73
_cell_angle_gamma 90.00
loop_
_symmetry_equiv_pos_as_xyz
'x,y,z'
'-x,-y,-z'
'-x,y,-z'
'x,-y,z'
loop_
_atom_site_label
_atom_site_type_symbol
_atom_site_fract_x
_atom_site_fract_y
_atom_site_fract_z
_atom_site_occupancy
Co1 Co 0.000 0.000 0.000 1
P1 P 0.289 0.500 0.012 1
Br1 Br 0.000 0.000 0.500 1

(6)
# CoPBr3 GGA-PBE relaxed
# - total moment (μB per formula unit) = 0.00
# - raw formation energy (eV per atom) = 0.587
# - ΔE to the lowest computed polymorph (eV/f.u.) = 0.00
# - Fermi-level density of states (states/eV/cell) = 2.899
data_CoPBr3
_chemical_formula_sum 'Co1 P1 Br3'
_symmetry_space_group_name_H-M 'P m -3 m'
_symmetry_Int_Tables_number 221
_symmetry_space_group_name_Hall '-P 4 2 3'
_cell_length_a 4.808
_cell_length_b 4.808
_cell_length_c 4.808
_cell_angle_alpha 90.00
_cell_angle_beta 90.00
_cell_angle_gamma 90.00
loop_
_atom_site_label
_atom_site_type_symbol
_atom_site_fract_x
_atom_site_fract_y
_atom_site_fract_z
_atom_site_occupancy
Co1 Co 0.000 0.000 0.000 1
P1 P 0.500 0.500 0.500 1
Br1 Br 0.000 0.000 0.500 1

(7)
# CoP2Br GGA-PBE relaxed
# - total moment (μB per formula unit) = 0.25
# - raw formation energy (eV per atom) = 0.311
# - ΔE to the lowest computed polymorph (eV/f.u.) = 1.84
# - Fermi-level density of states (states/eV/cell) = 5.352
data_CoP2Br
_chemical_formula_sum 'Co2 P4 Br2'
_symmetry_space_group_name_H-M 'C m m 2'
_symmetry_Int_Tables_number 35
_cell_length_a 3.576
_cell_length_b 7.477
_cell_length_c 7.395
_cell_angle_alpha 90.00
_cell_angle_beta 90.00
_cell_angle_gamma 90.00
loop_
_symmetry_equiv_pos_as_xyz
'x,y,z'
'-x,-y,z'
'-x,y,z'
'x,-y,z'
'x+1/2,y+1/2,z'
'-x+1/2,-y+1/2,z'
'-x+1/2,y+1/2,z'
'x+1/2,-y+1/2,z'
loop_
_atom_site_label
_atom_site_type_symbol
_atom_site_fract_x
_atom_site_fract_y
_atom_site_fract_z
_atom_site_occupancy
Co1 Co 0.000 0.000 0.000 1
P1 P 0.000 0.000 0.681 1
P2 P 0.000 0.500 0.842 1
Br1 Br 0.000 0.500 0.231 1

(8)
# CoP2Br GGA-PBE relaxed
# - total moment (μB per formula unit) = 0.85
# - raw formation energy (eV per atom) = 1.008
# - ΔE to the lowest computed polymorph (eV/f.u.) = 4.63
# - Fermi-level density of states (states/eV/cell) = 4.680
data_CoP2Br
_chemical_formula_sum 'Co1 P2 Br1'
_symmetry_space_group_name_H-M 'P 4/m m m'
_symmetry_Int_Tables_number 123
_symmetry_space_group_name_Hall '-P 4 2'
_cell_length_a 4.610
_cell_length_b 4.610
_cell_length_c 2.888
_cell_angle_alpha 90.00
_cell_angle_beta 90.00
_cell_angle_gamma 90.00
loop_
_atom_site_label
_atom_site_type_symbol
_atom_site_fract_x
_atom_site_fract_y
_atom_site_fract_z
_atom_site_occupancy
Co1 Co 0.000 0.000 0.000 1
P1 P 0.000 0.500 0.500 1
Br1 Br 0.500 0.500 0.000 1

(9)
# CoPBr GGA-PBE relaxed
# - total moment (μB per formula unit) = 0.75
# - raw formation energy (eV per atom) = 0.284
# - ΔE to the lowest computed polymorph (eV/f.u.) = 1.08
# - Fermi-level density of states (states/eV/cell) = 3.681
data_CoPBr
_chemical_formula_sum 'Co2 P2 Br2'
_symmetry_space_group_name_H-M 'I 4 m m'
_symmetry_Int_Tables_number 107
_symmetry_space_group_name_Hall 'I 4 -2'
_cell_length_a 2.824
_cell_length_b 2.824
_cell_length_c 15.552
_cell_angle_alpha 90.00
_cell_angle_beta 90.00
_cell_angle_gamma 90.00
loop_
_atom_site_label
_atom_site_type_symbol
_atom_site_fract_x
_atom_site_fract_y
_atom_site_fract_z
_atom_site_occupancy
Co1 Co 0.000 0.000 0.000 1
P1 P 0.000 0.000 0.432 1
Br1 Br 0.000 0.000 0.696 1

(10)
# CoP2Br GGA-PBE relaxed
# - total moment (μB per formula unit) = 1.79
# - raw formation energy (eV per atom) = 0.854
# - ΔE to the lowest computed polymorph (eV/f.u.) = 4.01
# - Fermi-level density of states (states/eV/cell) = 9.802
data_CoP2Br
_chemical_formula_sum 'Co2 P4 Br2'
_symmetry_space_group_name_H-M 'C m m m'
_symmetry_Int_Tables_number 65
_symmetry_space_group_name_Hall '-C 2 2'
_cell_length_a 4.523
_cell_length_b 13.122
_cell_length_c 2.657
_cell_angle_alpha 90.00
_cell_angle_beta 90.00
_cell_angle_gamma 90.00
loop_
_atom_site_label
_atom_site_type_symbol
_atom_site_fract_x
_atom_site_fract_y
_atom_site_fract_z
_atom_site_occupancy
Co1 Co 0.000 0.000 0.000 1
P1 P 0.250 0.250 0.500 1
Br1 Br 0.000 0.500 0.000 1

(11)
# CoP2Br GGA-PBE relaxed
# - total moment (μB per formula unit) = 0.00
# - raw formation energy (eV per atom) = -0.148
# - ΔE to the lowest computed polymorph (eV/f.u.) = 0.00
# - Fermi-level density of states (states/eV/cell) = 4.070
data_CoP2Br
_chemical_formula_sum 'Co2 P4 Br2'
_symmetry_space_group_name_H-M 'C 1 2/m 1'
_symmetry_Int_Tables_number 12
_cell_length_a 6.532
_cell_length_b 3.421
_cell_length_c 7.102
_cell_angle_alpha 90.00
_cell_angle_beta 109.25
_cell_angle_gamma 90.00
loop_
_symmetry_equiv_pos_as_xyz
'x,y,z'
'-x,-y,-z'
'-x,y,-z'
'x,-y,z'
'x+1/2,y+1/2,z'
'-x+1/2,-y+1/2,-z'
'-x+1/2,y+1/2,-z'
'x+1/2,-y+1/2,z'
loop_
_atom_site_label
_atom_site_type_symbol
_atom_site_fract_x
_atom_site_fract_y
_atom_site_fract_z
_atom_site_occupancy
Co1 Co 0.000 0.000 0.000 1
P1 P 0.140 0.500 0.872 1
Br1 Br 0.000 0.500 0.500 1

(12)
# CoP2Br GGA-PBE relaxed
# - total moment (μB per formula unit) = 0.00
# - raw formation energy (eV per atom) = 0.119
# - ΔE to the lowest computed polymorph (eV/f.u.) = 1.07
# - Fermi-level density of states (states/eV/cell) = 0.156
data_CoP2Br
_chemical_formula_sum 'Co4 P8 Br4'
_symmetry_space_group_name_H-M 'I -4 2 d'
_symmetry_Int_Tables_number 122
_symmetry_space_group_name_Hall 'I -4 2bw'
_cell_length_a 5.760
_cell_length_b 5.760
_cell_length_c 10.320
_cell_angle_alpha 90.00
_cell_angle_beta 90.00
_cell_angle_gamma 90.00
loop_
_atom_site_label
_atom_site_type_symbol
_atom_site_fract_x
_atom_site_fract_y
_atom_site_fract_z
_atom_site_occupancy
Co1 Co 0.000 0.000 0.000 1
P1 P 0.125 0.250 0.125 1
Br1 Br 0.000 0.000 0.500 1

(13)
# Co3PBr GGA-PBE relaxed
# - total moment (μB per formula unit) = 2.85
# - raw formation energy (eV per atom) = 0.524
# - ΔE to the lowest computed polymorph (eV/f.u.) = 0.00
# - Fermi-level density of states (states/eV/cell) = 6.165
data_Co3PBr
_chemical_formula_sum 'Co3 P1 Br1'
_symmetry_space_group_name_H-M 'P m -3 m'
_symmetry_Int_Tables_number 221
_symmetry_space_group_name_Hall '-P 4 2 3'
_cell_length_a 4.279
_cell_length_b 4.279
_cell_length_c 4.279
_cell_angle_alpha 90.00
_cell_angle_beta 90.00
_cell_angle_gamma 90.00
loop_
_atom_site_label
_atom_site_type_symbol
_atom_site_fract_x
_atom_site_fract_y
_atom_site_fract_z
_atom_site_occupancy
Co1 Co 0.000 0.000 0.500 1
P1 P 0.000 0.000 0.000 1
Br1 Br 0.500 0.500 0.500 1

(14)
# CoP2Br GGA-PBE relaxed
# - total moment (μB per formula unit) = 0.00
# - raw formation energy (eV per atom) = 0.163
# - ΔE to the lowest computed polymorph (eV/f.u.) = 1.24
# - Fermi-level density of states (states/eV/cell) = 9.140
data_CoP2Br
_chemical_formula_sum 'Co3 P6 Br3'
_symmetry_space_group_name_H-M 'R 3 m'
_symmetry_Int_Tables_number 160
_symmetry_space_group_name_Hall 'R 3 -2"'
_cell_length_a 3.5553
_cell_length_b 3.5553
_cell_length_c 20.1187
_cell_angle_alpha 90.00
_cell_angle_beta 90.00
_cell_angle_gamma 120.00
loop_
_atom_site_label
_atom_site_type_symbol
_atom_site_fract_x
_atom_site_fract_y
_atom_site_fract_z
_atom_site_occupancy
Co1 Co 0.0000 0.0000 0.0000 1
P1 P 0.0000 0.0000 0.2825 1
P2 P 0.0000 0.0000 0.5645 1
Br1 Br 0.0000 0.0000 0.7444 1

(15)
# CoP2Br GGA-PBE relaxed
# - total moment (μB per formula unit) = 0.55
# - raw formation energy (eV per atom) = 0.092
# - ΔE to the lowest computed polymorph (eV/f.u.) = 0.96
# - Fermi-level density of states (states/eV/cell) = 3.558
data_CoP2Br
_chemical_formula_sum 'Co1 P2 Br1'
_symmetry_space_group_name_H-M 'P 4/m m m'
_symmetry_Int_Tables_number 123
_symmetry_space_group_name_Hall '-P 4 2'
_cell_length_a 2.723
_cell_length_b 2.723
_cell_length_c 11.320
_cell_angle_alpha 90.00
_cell_angle_beta 90.00
_cell_angle_gamma 90.00
loop_
_atom_site_label
_atom_site_type_symbol
_atom_site_fract_x
_atom_site_fract_y
_atom_site_fract_z
_atom_site_occupancy
Co1 Co 0.000 0.000 0.000 1
P1 P 0.500 0.500 0.128 1
Br1 Br 0.000 0.000 0.500 1

(16)
# CoPBr4 GGA-PBE relaxed
# - total moment (μB per formula unit) = 4.50
# - raw formation energy (eV per atom) = 1.403
# - Fermi-level density of states (states/eV/cell) = 42.359
data_CoPBr4
_chemical_formula_sum 'Co4 P4 Br16'
_symmetry_space_group_name_H-M 'F -4 3 m'
_symmetry_Int_Tables_number 216
_symmetry_space_group_name_Hall 'F -4 2 3'
_cell_length_a 8.804
_cell_length_b 8.804
_cell_length_c 8.804
_cell_angle_alpha 90.00
_cell_angle_beta 90.00
_cell_angle_gamma 90.00
loop_
_atom_site_label
_atom_site_type_symbol
_atom_site_fract_x
_atom_site_fract_y
_atom_site_fract_z
_atom_site_occupancy
Co1 Co 0.000 0.000 0.000 1
P1 P 0.250 0.250 0.750 1
Br1 Br 0.126 0.126 0.374 1

(17)
# CoPBr3 GGA-PBE relaxed
# - total moment (μB per formula unit) = 2.50
# - raw formation energy (eV per atom) = 0.704
# - ΔE to the lowest computed polymorph (eV/f.u.) = 0.59
# - Fermi-level density of states (states/eV/cell) = 14.918
data_CoPBr3
_chemical_formula_sum 'Co1 P1 Br3'
_symmetry_space_group_name_H-M 'P m -3 m'
_symmetry_Int_Tables_number 221
_symmetry_space_group_name_Hall '-P 4 2 3'
_cell_length_a 5.132
_cell_length_b 5.132
_cell_length_c 5.132
_cell_angle_alpha 90.00
_cell_angle_beta 90.00
_cell_angle_gamma 90.00
loop_
_atom_site_label
_atom_site_type_symbol
_atom_site_fract_x
_atom_site_fract_y
_atom_site_fract_z
_atom_site_occupancy
Co1 Co 0.000 0.000 0.000 1
P1 P 0.500 0.500 0.500 1
Br1 Br 0.000 0.500 0.500 1

(18)
# CoP2Br GGA-PBE relaxed
# - total moment (μB per formula unit) = 0.00
# - raw formation energy (eV per atom) = 0.072
# - ΔE to the lowest computed polymorph (eV/f.u.) = 0.88
# - Fermi-level density of states (states/eV/cell) = 4.553
data_CoP2Br
_chemical_formula_sum 'Co2 P4 Br2'
_symmetry_space_group_name_H-M 'I m m 2'
_symmetry_Int_Tables_number 44
_cell_length_a 3.263
_cell_length_b 3.480
_cell_length_c 13.364
_cell_angle_alpha 90.00
_cell_angle_beta 90.00
_cell_angle_gamma 90.00
loop_
_symmetry_equiv_pos_as_xyz
'x,y,z'
'-x,-y,z'
'-x,y,z'
'x,-y,z'
'x+1/2,y+1/2,z+1/2'
'-x+1/2,-y+1/2,z+1/2'
'-x+1/2,y+1/2,z+1/2'
'x+1/2,-y+1/2,z+1/2'
loop_
_atom_site_label
_atom_site_type_symbol
_atom_site_fract_x
_atom_site_fract_y
_atom_site_fract_z
_atom_site_occupancy
Co1 Co 0.000 0.000 0.000 1
P1 P 0.000 0.000 0.524 1
P2 P 0.000 0.500 0.628 1
Br1 Br 0.000 0.500 0.345 1

(19)
# CoP2Br GGA-PBE relaxed
# - total moment (μB per formula unit) = 0.01
# - raw formation energy (eV per atom) = 0.061
# - ΔE to the lowest computed polymorph (eV/f.u.) = 0.84
# - Fermi-level density of states (states/eV/cell) = 2.805
data_CoP2Br
_chemical_formula_sum 'Co1 P2 Br1'
_symmetry_space_group_name_H-M 'P m m m'
_symmetry_Int_Tables_number 47
_cell_length_a 2.626
_cell_length_b 3.255
_cell_length_c 8.744
_cell_angle_alpha 90.00
_cell_angle_beta 90.00
_cell_angle_gamma 90.00
loop_
_symmetry_equiv_pos_as_xyz
'x,y,z'
'-x,-y,-z'
'-x,-y,z'
'x,y,-z'
'x,-y,-z'
'-x,y,z'
'-x,y,-z'
'x,-y,z'
loop_
_atom_site_label
_atom_site_type_symbol
_atom_site_fract_x
_atom_site_fract_y
_atom_site_fract_z
_atom_site_occupancy
Co1 Co 0.000 0.000 0.000 1
P1 P 0.500 0.500 0.137 1
Br1 Br 0.000 0.000 0.500 1

(20)
# CoP2Br GGA-PBE relaxed
# - total moment (μB per formula unit) = 1.98
# - raw formation energy (eV per atom) = 0.624
# - ΔE to the lowest computed polymorph (eV/f.u.) = 3.09
# - Fermi-level density of states (states/eV/cell) = 9.704
data_CoP2Br
_chemical_formula_sum 'Co2 P4 Br2'
_symmetry_space_group_name_H-M 'I 4/m m m'
_symmetry_Int_Tables_number 139
_symmetry_space_group_name_Hall '-I 4 2'
_cell_length_a 3.382
_cell_length_b 3.382
_cell_length_c 13.755
_cell_angle_alpha 90.00
_cell_angle_beta 90.00
_cell_angle_gamma 90.00
loop_
_atom_site_label
_atom_site_type_symbol
_atom_site_fract_x
_atom_site_fract_y
_atom_site_fract_z
_atom_site_occupancy
Co1 Co 0.000 0.000 0.000 1
P1 P 0.000 0.500 0.250 1
Br1 Br 0.000 0.000 0.500 1